1.
A plane-wave DFT calculation with PBE was carried out for crystalline BaMg2Fe at its relaxed geometry.

The space group is Pm (No. 6) and the conventional cell measures 3.568, 4.714 and 6.889 Å, with angles of 90.00, 104.96 and 90.00 degrees. Symmetry generates all atoms from Ba at (0.000, 0.000, 0.000), Mg at (0.297, 0.500, 0.595), Mg at (0.729, 0.000, 0.462) and Fe at (0.634, 0.500, 0.270).

The calculation puts the total magnetization at 2.48 μB/f.u. Its calculated formation energy is 0.411 eV/atom. The calculation puts the total energy at -2.98 eV per atom. The density of states at the Fermi level comes out at 4.73 states/eV/f.u.

2.
A plane-wave DFT calculation with PBE was carried out for crystalline Dy2SiPRh6 at its relaxed geometry.

The space group is Pmmn (No. 59, origin choice 2) and the conventional cell measures 5.777, 8.587 and 7.169 Å, with angles of 90.00, 90.00 and 90.00 degrees. Symmetry generates all atoms from Dy at (0.250, 0.020, 0.229), Si at (0.250, 0.750, 0.779), P at (0.250, 0.250, 0.734), Rh at (0.009, 0.750, 0.039), Rh at (0.012, 0.750, 0.498) and Rh at (0.250, 0.501, 0.639).

The calculation puts the total magnetization at 0.00 μB/f.u. The calculation puts the total energy at -7.14 eV per atom. As for the uncorrected formation energy: -0.726 eV per atom. The density of states at the Fermi level comes out at 5.91 states/eV/f.u.

3.
A plane-wave DFT calculation with PBE was carried out for crystalline BaMn2Zn at its relaxed geometry.

The space group is F-43m (No. 216) and the conventional cell measures 7.309, 7.309 and 7.309 Å, with angles of 90.00, 90.00 and 90.00 degrees. Symmetry generates all atoms from Ba at (0.000, 0.000, 0.000), Mn at (0.000, 0.000, 0.500), Mn at (0.250, 0.250, 0.750) and Zn at (0.250, 0.250, 0.250).

The calculation puts the total magnetization at 8.03 μB/f.u. Its calculated formation energy is 0.665 eV/atom. The calculation puts the total energy at -4.72 eV per atom. The density of states at the Fermi level comes out at 4.36 states/eV/f.u.

4.
A plane-wave DFT calculation with PBE was carried out for crystalline NiTe2Ir at its relaxed geometry.

The space group is P4mm (No. 99) and the conventional cell measures 3.478, 3.478 and 7.391 Å, with angles of 90.00, 90.00 and 90.00 degrees. Symmetry generates all atoms from Ni at (0.000, 0.000, 0.000), Te at (0.000, 0.000, 0.646), Te at (0.500, 0.500, 0.152) and Ir at (0.500, 0.500, 0.801).

The calculation puts the total magnetization at 0.00 μB/f.u. Its distance to the lowest polymorph of the same formula is 0.36 eV/f.u. The calculation puts the total energy at -5.22 eV per atom. As for the uncorrected formation energy: 0.013 eV per atom. The density of states at the Fermi level comes out at 2.14 states/eV/f.u.